No. 1
A plane-wave DFT calculation with meta-GGA SCAN was carried out for a crystal of Ag2Cl relaxed with PBEsol.

a = 3.098 Å, b = 3.098 Å, c = 5.978 Å
α = 104.57°, β = 104.57°, γ = 91.67°
Element x y z (fractional)
Ag (0.668, 0.668, 0.336)
Ag (0.332, 0.332, 0.664)
Cl (0.000, 0.000, 0.000)

Properties
final energy	-71.16	eV per formula unit
DOS(E_F)	0.180	states/eV per atom

No. 2
A plane-wave DFT calculation with meta-GGA SCAN was carried out for a crystal of BeRe2P relaxed with PBEsol.

a = 2.897 Å, b = 2.897 Å, c = 5.695 Å
α = 90.00°, β = 90.00°, γ = 90.00°
Element x y z (fractional)
Re (0.000, 0.000, 0.754)
Re (0.000, 0.000, 0.246)
Be (0.500, 0.500, 0.000)
P (0.500, 0.500, 0.500)

Properties
DOS(E_F)	0.630	states/eV per atom
formation energy	0.033	eV/atom

No. 3
A plane-wave DFT calculation with meta-GGA SCAN was carried out for a crystal of Na3SeS relaxed with PBEsol.

a = 5.336 Å, b = 5.336 Å, c = 5.336 Å
α = 90.00°, β = 90.00°, γ = 90.00°
Site moments in Bohr magnetons follow the coordinates.
Element x y z (fractional)
Na (0.000, 0.500, 0.000)  0.00
Na (0.000, 0.000, 0.500)  0.00
Na (0.500, 0.000, 0.000)  0.00
S (0.500, 0.500, 0.500)  0.50
Se (0.000, 0.000, 0.000)  0.10

Properties
final energy	-45.71	eV per formula unit
DOS(E_F)	1.393	states/eV per atom